## w
# TmAl2Ni9 GGA-PBE optimized geometry
data_TmAl2Ni9
_cell_length_a 8.0326
_cell_length_b 8.0326
_cell_length_c 4.6940
_cell_angle_alpha 90.00
_cell_angle_beta 90.00
_cell_angle_gamma 90.00
_symmetry_space_group_name_H-M 'P 4/m b m'
_symmetry_Int_Tables_number 127
_symmetry_space_group_name_Hall '-P 4 2ab'
loop_
_atom_site_label
_atom_site_type_symbol
_atom_site_fract_x
_atom_site_fract_y
_atom_site_fract_z
Tm1 Tm 0.0000 0.0000 0.0000
Al1 Al 0.1208 0.3792 0.0000
Ni1 Ni 0.0000 0.5000 0.5000
Ni2 Ni 0.0643 0.2087 0.5000
Ni3 Ni 0.1777 0.6777 0.2398
# total moment	1.0	μB per cell

## x
# TmAl2Ni9 GGA-PBE optimized geometry
data_TmAl2Ni9
_cell_length_a 4.7883
_cell_length_b 4.7883
_cell_length_c 23.0744
_cell_angle_alpha 90.00
_cell_angle_beta 90.00
_cell_angle_gamma 120.00
_symmetry_space_group_name_H-M 'R -3 m'
_symmetry_Int_Tables_number 166
_symmetry_space_group_name_Hall '-R 3 2"'
loop_
_atom_site_label
_atom_site_type_symbol
_atom_site_fract_x
_atom_site_fract_y
_atom_site_fract_z
Tm1 Tm 0.0000 0.0000 0.0000
Al1 Al 0.0000 0.0000 0.1435
Ni1 Ni 0.0000 0.0000 0.3341
Ni2 Ni 0.0000 0.0000 0.5000
Ni3 Ni 0.0062 0.5031 0.9128
# total moment	0.5	μB per cell

According to the calculations, the structures order from most to least stable as w, x.

## w
# Tm4AlNi GGA-PBE optimized geometry
data_Tm4AlNi
_cell_length_a 13.1730
_cell_length_b 13.1730
_cell_length_c 13.1730
_cell_angle_alpha 90.00
_cell_angle_beta 90.00
_cell_angle_gamma 90.00
_symmetry_space_group_name_H-M 'F -4 3 m'
_symmetry_Int_Tables_number 216
_symmetry_space_group_name_Hall 'F -4 2 3'
loop_
_atom_site_label
_atom_site_type_symbol
_atom_site_fract_x
_atom_site_fract_y
_atom_site_fract_z
Tm1 Tm 0.0000 0.0000 0.1861
Tm2 Tm 0.0596 0.2500 0.7500
Tm3 Tm 0.1009 0.1009 0.3991
Al1 Al 0.1722 0.1722 0.1722
Ni1 Ni 0.1070 0.1070 0.6070
# total moment	0.0	μB per cell

## x
# Tm4AlNi GGA-PBE optimized geometry
data_Tm4AlNi
_cell_length_a 8.4874
_cell_length_b 12.3552
_cell_length_c 5.9361
_cell_angle_alpha 90.00
_cell_angle_beta 106.94
_cell_angle_gamma 90.00
_symmetry_space_group_name_H-M 'C 1 2/c 1'
_symmetry_Int_Tables_number 15
_symmetry_space_group_name_Hall '-C 2yc'
loop_
_atom_site_label
_atom_site_type_symbol
_atom_site_fract_x
_atom_site_fract_y
_atom_site_fract_z
Tm1 Tm 0.1113 0.1669 0.0446
Tm2 Tm 0.2085 0.4165 0.3959
Al1 Al 0.0000 0.3763 0.7500
Ni1 Ni 0.0000 0.0018 0.2500
# total moment	0.0	μB per cell

According to the calculations, the structures order from most to least stable as w, x.